No. 1
Mg2CuNi at its PBEsol-relaxed geometry. Source: the Alexandria database, functional meta-GGA SCAN. Values from VASP.

Calculated values
- Energy of formation: -0.064 eV per atom
- Calculated total energy: -41.6 eV for the cell shown
- SG: I-4m2, No. 119
- Calculated volume: 14.17 Å³/atom

Geometry as Quantum ESPRESSO input:
```
&SYSTEM
  ibrav = 0, nat = 4, ntyp = 3
/
ATOMIC_SPECIES
Mg 24.30 Mg.upf
Cu 63.55 Cu.upf
Ni 58.69 Ni.upf
CELL_PARAMETERS angstrom
-1.8751 1.8751 4.0295
1.8751 -1.8751 4.0295
1.8751 1.8751 -4.0295
ATOMIC_POSITIONS crystal
Mg 0.0000 0.0000 0.0000
Mg 0.7500 0.2500 0.5000
Cu 0.2500 0.7500 0.5000
Ni 0.5000 0.5000 0.0000
```



No. 2
Mg2CuNi at its PBEsol-relaxed geometry. Source: the Alexandria database, functional meta-GGA SCAN. Values from VASP.

Calculated values
- Energy of formation: -0.119 eV per atom
- Calculated total energy: -41.8 eV for the cell shown
- SG: P4/mmm, No. 123
- Calculated volume: 14.19 Å³/atom

Geometry as Quantum ESPRESSO input:
```
&SYSTEM
  ibrav = 0, nat = 4, ntyp = 3
/
ATOMIC_SPECIES
Mg 24.30 Mg.upf
Cu 63.55 Cu.upf
Ni 58.69 Ni.upf
CELL_PARAMETERS angstrom
4.3541 0.0000 0.0000
0.0000 4.3541 0.0000
0.0000 0.0000 2.9934
ATOMIC_POSITIONS crystal
Mg 0.0000 0.5000 0.0000
Mg 0.5000 0.0000 0.0000
Cu 0.0000 0.0000 0.5000
Ni 0.5000 0.5000 0.5000
```



No. 3
MgCuNi6 at its PBEsol-relaxed geometry. Source: the Alexandria database, functional meta-GGA SCAN. Values from VASP.

Calculated values
- Energy of formation: 0.012 eV per atom
- Calculated total energy: -468.5 eV for the cell shown
- SG: Cmmm, No. 65
- Calculated volume: 10.97 Å³/atom

Geometry as Quantum ESPRESSO input:
```
&SYSTEM
  ibrav = 0, nat = 32, ntyp = 3
/
ATOMIC_SPECIES
Mg 24.30 Mg.upf
Cu 63.55 Cu.upf
Ni 58.69 Ni.upf
CELL_PARAMETERS angstrom
3.5196 -4.9965 0.0000
3.5196 4.9965 0.0000
0.0000 0.0000 9.9854
ATOMIC_POSITIONS crystal
Mg 0.0000 0.0000 0.2491
Mg 0.0000 0.0000 0.7509
Mg 0.2454 0.7546 0.5000
Mg 0.7546 0.2454 0.5000
Cu 0.2450 0.7550 0.0000
Cu 0.5000 0.5000 0.2475
Cu 0.5000 0.5000 0.7525
Cu 0.7550 0.2450 0.0000
Ni 0.0000 0.0000 0.0000
Ni 0.0000 0.0000 0.5000
Ni 0.1289 0.3819 0.1220
Ni 0.1289 0.3819 0.8780
Ni 0.1336 0.3803 0.3716
Ni 0.1336 0.3803 0.6284
Ni 0.2526 0.7474 0.2443
Ni 0.2526 0.7474 0.7557
Ni 0.3803 0.1336 0.3716
Ni 0.3803 0.1336 0.6284
Ni 0.3819 0.1289 0.1220
Ni 0.3819 0.1289 0.8780
Ni 0.5000 0.5000 0.0000
Ni 0.5000 0.5000 0.5000
Ni 0.6181 0.8711 0.1220
Ni 0.6181 0.8711 0.8780
Ni 0.6197 0.8664 0.3716
Ni 0.6197 0.8664 0.6284
Ni 0.7474 0.2526 0.2443
Ni 0.7474 0.2526 0.7557
Ni 0.8664 0.6197 0.3716
Ni 0.8664 0.6197 0.6284
Ni 0.8711 0.6181 0.1220
Ni 0.8711 0.6181 0.8780
```



No. 4
MgCu2Ni at its PBEsol-relaxed geometry. Source: the Alexandria database, functional meta-GGA SCAN. Values from VASP.

Calculated values
- Energy of formation: -0.054 eV per atom
- Calculated total energy: -51.8 eV for the cell shown
- SG: I-4m2, No. 119
- Calculated volume: 12.19 Å³/atom

Geometry as Quantum ESPRESSO input:
```
&SYSTEM
  ibrav = 0, nat = 4, ntyp = 3
/
ATOMIC_SPECIES
Mg 24.30 Mg.upf
Cu 63.55 Cu.upf
Ni 58.69 Ni.upf
CELL_PARAMETERS angstrom
-1.8382 1.8382 3.6075
1.8382 -1.8382 3.6075
1.8382 1.8382 -3.6075
ATOMIC_POSITIONS crystal
Mg 0.0000 0.0000 0.0000
Cu 0.5000 0.5000 0.0000
Cu 0.7500 0.2500 0.5000
Ni 0.2500 0.7500 0.5000
```



No. 5
MgCuNi at its PBEsol-relaxed geometry. Source: the Alexandria database, functional meta-GGA SCAN. Values from VASP.

Calculated values
- Energy of formation: 0.148 eV per atom
- Calculated total energy: -35.9 eV for the cell shown
- SG: P3m1, No. 156
- Calculated volume: 12.93 Å³/atom

Geometry as Quantum ESPRESSO input:
```
&SYSTEM
  ibrav = 0, nat = 3, ntyp = 3
/
ATOMIC_SPECIES
Mg 24.30 Mg.upf
Cu 63.55 Cu.upf
Ni 58.69 Ni.upf
CELL_PARAMETERS angstrom
2.6931 0.0000 0.0000
-1.3466 2.3323 0.0000
0.0000 0.0000 6.1742
ATOMIC_POSITIONS crystal
Mg 0.0000 0.0000 0.0000
Cu 0.6667 0.3333 0.3564
Ni 0.3333 0.6667 0.6686
```



No. 6
MgCu2Ni at its PBEsol-relaxed geometry. Source: the Alexandria database, functional meta-GGA SCAN. Values from VASP.

Calculated values
- Energy of formation: -0.003 eV per atom
- Calculated total energy: -51.6 eV for the cell shown
- SG: Pmmm, No. 47
- Calculated volume: 12.41 Å³/atom

Geometry as Quantum ESPRESSO input:
```
&SYSTEM
  ibrav = 0, nat = 4, ntyp = 3
/
ATOMIC_SPECIES
Mg 24.30 Mg.upf
Cu 63.55 Cu.upf
Ni 58.69 Ni.upf
CELL_PARAMETERS angstrom
2.6665 0.0000 0.0000
0.0000 3.4985 0.0000
0.0000 0.0000 5.3220
ATOMIC_POSITIONS crystal
Mg 0.0000 0.0000 0.0000
Cu 0.5000 0.5000 0.2742
Cu 0.5000 0.5000 0.7258
Ni 0.0000 0.0000 0.5000
```



No. 7
MgCuNi4 at its PBEsol-relaxed geometry. Source: the Alexandria database, functional meta-GGA SCAN. Values from VASP.

Calculated values
- Energy of formation: -0.003 eV per atom
- Calculated total energy: -84.9 eV for the cell shown
- SG: F-43m, No. 216
- Calculated volume: 11.76 Å³/atom

Geometry as Quantum ESPRESSO input:
```
&SYSTEM
  ibrav = 0, nat = 6, ntyp = 3
/
ATOMIC_SPECIES
Mg 24.30 Mg.upf
Cu 63.55 Cu.upf
Ni 58.69 Ni.upf
CELL_PARAMETERS angstrom
0.0000 3.2793 3.2793
3.2793 0.0000 3.2793
3.2793 3.2793 0.0000
ATOMIC_POSITIONS crystal
Mg 0.0000 0.0000 0.0000
Cu 0.2500 0.2500 0.2500
Ni 0.1260 0.6247 0.6247
Ni 0.6247 0.1260 0.6247
Ni 0.6247 0.6247 0.1260
Ni 0.6247 0.6247 0.6247
```



No. 8
MgCu2Ni at its PBEsol-relaxed geometry. Source: the Alexandria database, functional meta-GGA SCAN. Values from VASP.

Calculated values
- Energy of formation: -0.028 eV per atom
- Calculated total energy: -51.7 eV for the cell shown
- SG: Pmm2, No. 25
- Calculated volume: 12.32 Å³/atom

Geometry as Quantum ESPRESSO input:
```
&SYSTEM
  ibrav = 0, nat = 4, ntyp = 3
/
ATOMIC_SPECIES
Mg 24.30 Mg.upf
Cu 63.55 Cu.upf
Ni 58.69 Ni.upf
CELL_PARAMETERS angstrom
2.6830 0.0000 0.0000
0.0000 3.4726 0.0000
0.0000 0.0000 5.2877
ATOMIC_POSITIONS crystal
Mg 0.0000 0.0000 0.0000
Cu 0.0000 0.0000 0.4911
Cu 0.5000 0.5000 0.7209
Ni 0.5000 0.5000 0.2596
```



No. 9
Mg2CuNi at its PBEsol-relaxed geometry. Source: the Alexandria database, functional meta-GGA SCAN. Values from VASP.

Calculated values
- Energy of formation: -0.102 eV per atom
- Calculated total energy: -41.7 eV for the cell shown
- SG: Cm, No. 8
- Calculated volume: 14.46 Å³/atom

Geometry as Quantum ESPRESSO input:
```
&SYSTEM
  ibrav = 0, nat = 4, ntyp = 3
/
ATOMIC_SPECIES
Mg 24.30 Mg.upf
Cu 63.55 Cu.upf
Ni 58.69 Ni.upf
CELL_PARAMETERS angstrom
4.7785 -1.4316 0.0000
4.7785 1.4316 0.0000
-1.4433 0.0000 4.2281
ATOMIC_POSITIONS crystal
Mg 0.0000 0.0000 0.0000
Mg 0.2109 0.2109 0.6493
Cu 0.7573 0.7573 0.1863
Ni 0.4633 0.4633 0.4776
```



No. 10
Mg30CuNiO32 at its PBEsol-relaxed geometry. Source: the Alexandria database, functional meta-GGA SCAN. Values from VASP.

Calculated values
- Calculated total energy: -564.5 eV for the cell shown
- SG: P4/mmm, No. 123
- Calculated volume: 9.35 Å³/atom
- Formation energy from raw total energies: -2.883 eV/atom

Geometry as Quantum ESPRESSO input:
```
&SYSTEM
  ibrav = 0, nat = 64, ntyp = 4
/
ATOMIC_SPECIES
Mg 24.30 Mg.upf
Cu 63.55 Cu.upf
Ni 58.69 Ni.upf
O 16.00 O.upf
CELL_PARAMETERS angstrom
8.4266 0.0000 0.0000
0.0000 8.4266 0.0000
0.0000 0.0000 8.4253
ATOMIC_POSITIONS crystal
Mg 0.0000 0.0000 0.0000
Mg 0.0000 0.0000 0.5000
Mg 0.0000 0.2503 0.2498
Mg 0.0000 0.2503 0.7502
Mg 0.0000 0.5000 0.0000
Mg 0.0000 0.5000 0.5000
Mg 0.0000 0.7497 0.2498
Mg 0.0000 0.7497 0.7502
Mg 0.2503 0.0000 0.2498
Mg 0.2503 0.0000 0.7502
Mg 0.2512 0.2512 0.0000
Mg 0.2511 0.2511 0.5000
Mg 0.2512 0.7488 0.0000
Mg 0.2511 0.7489 0.5000
Mg 0.2518 0.5000 0.2500
Mg 0.2518 0.5000 0.7500
Mg 0.5000 0.0000 0.0000
Mg 0.5000 0.0000 0.5000
Mg 0.5000 0.2518 0.2500
Mg 0.5000 0.2518 0.7500
Mg 0.5000 0.7482 0.2500
Mg 0.5000 0.7482 0.7500
Mg 0.7482 0.5000 0.2500
Mg 0.7482 0.5000 0.7500
Mg 0.7488 0.2512 0.0000
Mg 0.7489 0.2511 0.5000
Mg 0.7488 0.7488 0.0000
Mg 0.7489 0.7489 0.5000
Mg 0.7497 0.0000 0.2498
Mg 0.7497 0.0000 0.7502
Cu 0.5000 0.5000 0.0000
Ni 0.5000 0.5000 0.5000
O 0.0000 0.0000 0.2503
O 0.0000 0.0000 0.7497
O 0.0000 0.2501 0.0000
O 0.0000 0.2506 0.5000
O 0.0000 0.5000 0.2507
O 0.0000 0.5000 0.7493
O 0.0000 0.7494 0.5000
O 0.0000 0.7499 0.0000
O 0.2476 0.5000 0.0000
O 0.2501 0.0000 0.0000
O 0.2506 0.0000 0.5000
O 0.2506 0.2506 0.2501
O 0.2506 0.2506 0.7499
O 0.2507 0.5000 0.5000
O 0.2506 0.7494 0.2501
O 0.2506 0.7494 0.7499
O 0.5000 0.0000 0.2507
O 0.5000 0.0000 0.7493
O 0.5000 0.2476 0.0000
O 0.5000 0.2507 0.5000
O 0.5000 0.5000 0.2617
O 0.5000 0.5000 0.7383
O 0.5000 0.7493 0.5000
O 0.5000 0.7524 0.0000
O 0.7494 0.0000 0.5000
O 0.7494 0.2506 0.2501
O 0.7494 0.2506 0.7499
O 0.7493 0.5000 0.5000
O 0.7494 0.7494 0.2501
O 0.7494 0.7494 0.7499
O 0.7499 0.0000 0.0000
O 0.7524 0.5000 0.0000
```



> The highest calculated total energy belongs to which entry?

MgCuNi